# SeBrCl2 | Alexandria via LeMat-Bulk | PBE | relaxed
# M_tot   0.44 μB/f.u.
# Final energy   -2.1027 eV/atom
# Uncorrected formation energy   110 meV per atom
data_SeBrCl2
_chemical_formula_sum 'Se2 Br2 Cl4'
_symmetry_space_group_name_H-M 'I m m 2'
_symmetry_Int_Tables_number 44
_cell_length_a 3.5116
_cell_length_b 6.8008
_cell_length_c 9.5462
_cell_angle_alpha 90.00
_cell_angle_beta 90.00
_cell_angle_gamma 90.00
loop_
_symmetry_equiv_pos_as_xyz
'x,y,z'
'-x,-y,z'
'-x,y,z'
'x,-y,z'
'x+1/2,y+1/2,z+1/2'
'-x+1/2,-y+1/2,z+1/2'
'-x+1/2,y+1/2,z+1/2'
'x+1/2,-y+1/2,z+1/2'
loop_
_atom_site_label
_atom_site_type_symbol
_atom_site_fract_x
_atom_site_fract_y
_atom_site_fract_z
_atom_site_occupancy
Se1 Se 0.0000 0.0000 0.0000 1
Br1 Br 0.0000 0.5000 0.6939 1
Cl1 Cl 0.0000 0.0000 0.4820 1
Cl2 Cl 0.0000 0.5000 0.3174 1